No. 1
CdIn2Te: relaxed, PBE.

Calculated values
Calculated volume = 28.5 Å³/atom
Formation energy from raw total energies = -0.08 eV per atom
Crystal system = monoclinic
Polymorph energy (0 for the lowest one) = 37 meV/atom
Magnetization = 0.00 μB per cell

a b c (Å): 6.757 6.241 6.752
angles (deg): 90.00 126.80 90.00
Element x y z (fractional)
1 Cd 0.614 0.503 0.932
2 Cd 0.114 0.497 0.432
3 Te 0.543 0.224 0.506
4 Te 0.043 0.776 0.006
5 In 0.309 0.920 0.727
6 In 0.644 0.697 0.407
7 In 0.809 0.080 0.227
8 In 0.144 0.303 0.907

***

No. 2
CuSiPdPt: relaxed, PBE.

Calculated values
Calculated volume = 13.7 Å³/atom
Formation energy from raw total energies = -0.40 eV per atom
Crystal system = cubic
Magnetization = 0.00 μB per cell

a b c (Å): 4.269 4.269 4.269
angles (deg): 60.00 60.00 60.00
Element x y z (fractional)
1 Cu 0.000 0.000 0.000
2 Si 0.500 0.500 0.500
3 Pt 0.750 0.750 0.750
4 Pd 0.250 0.250 0.250

***

No. 3
TlCoN2: relaxed, PBE.

Calculated values
Calculated volume = 14.6 Å³/atom
Formation energy from raw total energies = 0.61 eV per atom
Crystal system = tetragonal
Polymorph energy (0 for the lowest one) = 0 meV/atom
Magnetization = 0.00 μB per cell

a b c (Å): 5.455 5.455 5.495
angles (deg): 60.24 60.24 90.00
Element x y z (fractional)
1 N 0.265 0.625 0.250
2 N 0.485 0.125 0.250
3 N 0.875 0.735 0.750
4 N 0.375 0.515 0.750
5 Tl 0.750 0.250 0.500
6 Tl 0.000 0.000 0.000
7 Co 0.500 0.500 0.000
8 Co 0.250 0.750 0.500

***

No. 4
SrHoCu: relaxed, PBE.

Calculated values
Calculated volume = 31.4 Å³/atom
Crystal system = hexagonal
Polymorph energy (0 for the lowest one) = 143 meV/atom
Magnetization = 0.00 μB per cell

a b c (Å): 3.880 3.882 14.441
angles (deg): 90.00 90.00 119.98
Element x y z (fractional)
1 Sr 0.278 0.556 0.148
2 Sr 0.278 0.556 0.852
3 Ho 0.611 0.222 0.623
4 Ho 0.611 0.222 0.377
5 Cu 0.611 0.222 0.000
6 Cu 0.278 0.555 0.500